No. 1
This record from Alexandria via LeMat-Bulk describes an optimized crystal structure of Ca4ThIn5. The functional is PBE.

a = 3.7588 Å, b = 3.7588 Å, c = 20.1913 Å
α = 90.00°, β = 90.00°, γ = 90.00°
Fractional coordinates of all 10 atoms:
1 Ca 0.0000 0.0000 0.0993
2 Ca 0.0000 0.0000 0.2944
3 Ca 0.0000 0.0000 0.7056
4 Ca 0.0000 0.0000 0.9007
5 Th 0.0000 0.0000 0.5000
6 In 0.5000 0.5000 0.0000
7 In 0.5000 0.5000 0.1977
8 In 0.5000 0.5000 0.3943
9 In 0.5000 0.5000 0.6057
10 In 0.5000 0.5000 0.8023

Summary:
**Formation energy from the elements**: -4.2 eV/f.u.
**Magnetic moment**: 0.0 μB per formula unit



No. 2
This record from Alexandria via LeMat-Bulk describes an optimized crystal structure of CaThTlIn. The functional is PBE.

a = 5.4882 Å, b = 5.4882 Å, c = 5.4882 Å
α = 60.00°, β = 60.00°, γ = 60.00°
Fractional coordinates of all 4 atoms:
1 Ca 0.0000 0.0000 0.0000
2 Th 0.5000 0.5000 0.5000
3 Tl 0.2500 0.2500 0.2500
4 In 0.7500 0.7500 0.7500

Summary:
**Formation energy from the elements**: -1.0 eV/f.u.
**Magnetic moment**: 0.0 μB per formula unit



No. 3
This record from Alexandria via LeMat-Bulk describes an optimized crystal structure of CaTiIn2. The functional is PBE.

a = 10.8366 Å, b = 10.8366 Å, c = 10.8366 Å
α = 154.93°, β = 154.93°, γ = 35.75°
Fractional coordinates of all 8 atoms:
1 Ca 0.0000 0.0000 0.0000
2 Ca 0.7500 0.2500 0.5000
3 Ti 0.2500 0.7500 0.5000
4 Ti 0.5000 0.5000 0.0000
5 In 0.1784 0.6250 0.0534
6 In 0.3750 0.4284 0.5534
7 In 0.5716 0.1250 0.9466
8 In 0.8750 0.8216 0.4466

Summary:
**Formation energy from the elements**: 1.2 eV/f.u.
**Magnetic moment**: 2.0 μB per formula unit



No. 4
This record from Alexandria via LeMat-Bulk describes an optimized crystal structure of CaTiIn2. The functional is PBE.

a = 3.1928 Å, b = 3.1928 Å, c = 8.9681 Å
α = 90.00°, β = 90.00°, γ = 90.00°
Fractional coordinates of all 4 atoms:
1 Ca 0.0000 0.0000 0.0000
2 Ti 0.0000 0.0000 0.5000
3 In 0.5000 0.5000 0.2754
4 In 0.5000 0.5000 0.7246

Summary:
**Formation energy from the elements**: -0.9 eV/f.u.
**Magnetic moment**: 0.0 μB per formula unit



No. 5
This record from Alexandria via LeMat-Bulk describes an optimized crystal structure of CaTiIn. The functional is PBE.

a = 13.1695 Å, b = 13.1695 Å, c = 13.1695 Å
α = 165.00°, β = 165.00°, γ = 21.28°
Fractional coordinates of all 6 atoms:
1 Ca 0.0704 0.0704 0.0000
2 Ca 0.9296 0.9296 0.0000
3 Ti 0.2224 0.2224 0.0000
4 Ti 0.7776 0.7776 0.0000
5 In 0.3434 0.3434 0.0000
6 In 0.6566 0.6566 0.0000

Summary:
**Formation energy from the elements**: -0.4 eV/f.u.
**Magnetic moment**: 0.2 μB per formula unit



No. 6
This record from Alexandria via LeMat-Bulk describes an optimized crystal structure of CaTi3In. The functional is PBE.

a = 5.1736 Å, b = 5.1736 Å, c = 5.1736 Å
α = 90.00°, β = 90.00°, γ = 90.00°
Fractional coordinates of all 5 atoms:
1 Ca 0.0000 0.0000 0.0000
2 Ti 0.0000 0.5000 0.5000
3 Ti 0.5000 0.0000 0.5000
4 Ti 0.5000 0.5000 0.0000
5 In 0.5000 0.5000 0.5000

Summary:
**Formation energy from the elements**: 4.8 eV/f.u.
**Magnetic moment**: 3.1 μB per formula unit
**Energy above the lowest structure with this stoichiometry**: 0 meV per atom



No. 7
This record from Alexandria via LeMat-Bulk describes an optimized crystal structure of CaTi3In. The functional is PBE.

a = 4.7803 Å, b = 4.7803 Å, c = 4.7803 Å
α = 90.00°, β = 90.00°, γ = 90.00°
Fractional coordinates of all 5 atoms:
1 Ca 0.0000 0.0000 0.0000
2 Ti 0.0000 0.0000 0.5000
3 Ti 0.0000 0.5000 0.0000
4 Ti 0.5000 0.0000 0.0000
5 In 0.5000 0.5000 0.5000

Summary:
**Formation energy from the elements**: 7.4 eV/f.u.
**Magnetic moment**: 3.3 μB per formula unit
**Energy above the lowest structure with this stoichiometry**: 524 meV per atom



No. 8
This record from Alexandria via LeMat-Bulk describes an optimized crystal structure of Ca2TlIn9. The functional is PBE.

a = 4.7426 Å, b = 4.7426 Å, c = 14.3623 Å
α = 90.00°, β = 90.00°, γ = 90.00°
Fractional coordinates of all 12 atoms:
1 Ca 0.0000 0.0000 0.1632
2 Ca 0.0000 0.0000 0.8368
3 Tl 0.0000 0.0000 0.5000
4 In 0.0000 0.5000 0.0000
5 In 0.0000 0.5000 0.3283
6 In 0.0000 0.5000 0.6717
7 In 0.5000 0.0000 0.0000
8 In 0.5000 0.0000 0.3283
9 In 0.5000 0.0000 0.6717
10 In 0.5000 0.5000 0.1588
11 In 0.5000 0.5000 0.5000
12 In 0.5000 0.5000 0.8412

Summary:
**Formation energy from the elements**: -2.3 eV/f.u.
**Magnetic moment**: 0.0 μB per formula unit



No. 9
This record from Alexandria via LeMat-Bulk describes an optimized crystal structure of Ca2Tl2In. The functional is PBE.

a = 8.7939 Å, b = 8.7939 Å, c = 4.0254 Å
α = 90.00°, β = 90.00°, γ = 90.00°
Fractional coordinates of all 10 atoms:
1 Ca 0.1559 0.3441 0.0000
2 Ca 0.3441 0.8441 0.0000
3 Ca 0.6559 0.1559 0.0000
4 Ca 0.8441 0.6559 0.0000
5 Tl 0.1442 0.6442 0.5000
6 Tl 0.3558 0.1442 0.5000
7 Tl 0.6442 0.8558 0.5000
8 Tl 0.8558 0.3558 0.5000
9 In 0.0000 0.0000 0.0000
10 In 0.5000 0.5000 0.0000

Summary:
**Formation energy from the elements**: -1.1 eV/f.u.
**Magnetic moment**: 0.0 μB per formula unit
**Energy above the lowest structure with this stoichiometry**: 100 meV per atom



No. 10
This record from Alexandria via LeMat-Bulk describes an optimized crystal structure of CaTl2In6. The functional is PBE.

a = 8.6188 Å, b = 8.6188 Å, c = 4.4623 Å
α = 96.35°, β = 96.35°, γ = 127.56°
Fractional coordinates of all 9 atoms:
1 Ca 0.0000 0.0000 0.0000
2 Tl 0.1686 0.8314 0.5000
3 Tl 0.8314 0.1686 0.5000
4 In 0.1825 0.4946 0.1585
5 In 0.3427 0.3427 0.6657
6 In 0.4946 0.1825 0.1585
7 In 0.5054 0.8175 0.8415
8 In 0.6573 0.6573 0.3343
9 In 0.8175 0.5054 0.8415

Summary:
**Formation energy from the elements**: -0.8 eV/f.u.
**Magnetic moment**: 0.0 μB per formula unit



The highest magnetic moment belongs to which entry? number 7